A plane-wave DFT calculation with PBE was carried out for a relaxed structure of FeSnPd6.

Geometry as POSCAR:
```
FeSnPd6
1.0
-2.907 1.529 -2.255
-0.702 -3.607 -1.540
-5.197 -1.433 5.728
Fe Sn Pd
1 1 6
Direct
0.000 0.000 0.500
0.000 0.000 0.000
0.500 0.500 0.000
0.500 0.500 0.500
0.500 0.000 0.261
0.500 0.000 0.739
0.000 0.500 0.261
0.000 0.500 0.739
```

Energy above the most stable polymorph in this dataset, meV per atom: 0.0
Calculated density, g cm⁻³: 10.8
Total magnetization, μB/f.u.: 4.57
E_form, meV per atom: -286
E, eV per formula unit: -45.91

***

A plane-wave DFT calculation with PBE was carried out for a relaxed structure of FeSn3Pd12.

Geometry as POSCAR:
```
FeSn3Pd12
1.0
4.012 0.000 0.000
0.000 4.012 0.000
0.000 0.000 15.957
Fe Sn Pd
1 3 12
Direct
0.000 0.000 0.000
0.000 0.000 0.244
0.000 0.000 0.500
0.000 0.000 0.756
0.500 0.500 0.000
0.500 0.500 0.246
0.500 0.500 0.500
0.500 0.500 0.754
0.500 0.000 0.117
0.500 0.000 0.373
0.500 0.000 0.627
0.500 0.000 0.883
0.000 0.500 0.117
0.000 0.500 0.373
0.000 0.500 0.627
0.000 0.500 0.883
```

Calculated density, g cm⁻³: 10.9
Total magnetization, μB/f.u.: 4.62
E_form, meV per atom: -393
E, eV per formula unit: -89.08

***

A plane-wave DFT calculation with PBE was carried out for a relaxed structure of FeSn2Pd2.

Geometry as POSCAR:
```
FeSn2Pd2
1.0
7.245 0.000 0.000
0.000 7.245 0.000
0.000 0.000 3.565
Sn Pd Fe
4 4 2
Direct
0.166 0.666 0.500
0.666 0.834 0.500
0.834 0.334 0.500
0.334 0.166 0.500
0.363 0.863 0.000
0.863 0.637 0.000
0.637 0.137 0.000
0.137 0.363 0.000
0.000 0.000 0.000
0.500 0.500 0.000
```

Energy above the most stable polymorph in this dataset, meV per atom: 0.0
Calculated density, g cm⁻³: 9.0
Total magnetization, μB/f.u.: 2.98
E_form, meV per atom: -53
E, eV per formula unit: -27.12

***

A plane-wave DFT calculation with PBE was carried out for a relaxed structure of Fe2SnPd2.

Geometry as POSCAR:
```
Fe2SnPd2
1.0
-5.562 0.155 3.089
-2.850 -2.726 -4.995
0.701 -3.357 1.432
Sn Pd Fe
2 4 4
Direct
0.000 0.000 0.000
0.500 0.500 0.000
0.169 0.669 0.500
0.669 0.831 0.500
0.831 0.331 0.500
0.331 0.169 0.500
0.383 0.883 0.000
0.883 0.617 0.000
0.617 0.117 0.000
0.117 0.383 0.000
```

Calculated density, g cm⁻³: 9.8
Total magnetization, μB/f.u.: 0.00
E_form, meV per atom: 260
E, eV per formula unit: -30.01

***

A plane-wave DFT calculation with PBE was carried out for a relaxed structure of FeSnPd2.

Geometry as POSCAR:
```
FeSnPd2
1.0
-1.962 -1.475 -3.062
1.224 -3.605 0.952
-7.740 -3.653 4.205
Sn Pd Fe
2 4 2
Direct
0.000 0.000 0.000
0.750 0.250 0.500
0.616 0.125 0.250
0.134 0.625 0.250
0.375 0.384 0.750
0.875 0.866 0.750
0.500 0.500 0.000
0.250 0.750 0.500
```

Calculated density, g cm⁻³: 9.2
Total magnetization, μB/f.u.: 3.03
E_form, meV per atom: 63
E, eV per formula unit: -22.60

***

A plane-wave DFT calculation with PBE was carried out for a relaxed structure of TlFeSn2Pd.

Geometry as POSCAR:
```
TlFeSn2Pd
1.0
5.152 0.000 0.000
0.000 5.209 0.000
0.000 0.000 5.152
Tl Sn Pd Fe
1 2 1 1
Direct
0.000 0.500 0.000
0.000 0.000 0.500
0.500 0.000 0.000
0.000 0.000 0.000
0.500 0.500 0.500
```

Calculated density, g cm⁻³: 7.3
Total magnetization, μB/f.u.: 3.29
E_form, meV per atom: 657
E, eV per formula unit: -20.74

***

A plane-wave DFT calculation with PBE was carried out for a relaxed structure of FeSn2PdW.

Geometry as POSCAR:
```
FeSn2PdW
1.0
-4.300 1.958 0.049
-1.549 -3.330 -2.820
-1.157 -2.635 3.748
Pd Sn W Fe
1 2 1 1
Direct
0.000 0.500 0.000
0.000 0.000 0.500
0.500 0.000 0.000
0.500 0.500 0.500
0.000 0.000 0.000
```

Calculated density, g cm⁻³: 9.4
Total magnetization, μB/f.u.: 4.56
E_form, meV per atom: 1185
E, eV per formula unit: -28.69

***

A plane-wave DFT calculation with PBE was carried out for a relaxed structure of Sr2FePd.

Geometry as POSCAR:
```
Sr2FePd
1.0
-0.889 4.025 -7.167
6.399 -4.185 -3.144
0.700 -2.426 -6.217
Sr Fe Pd
4 2 2
Direct
0.644 0.125 0.250
0.106 0.625 0.250
0.375 0.356 0.750
0.875 0.894 0.750
0.500 0.500 0.000
0.250 0.750 0.500
0.000 0.000 0.000
0.750 0.250 0.500
```

Energy above the most stable polymorph in this dataset, meV per atom: 212.0
Calculated density, g cm⁻³: 5.0
Total magnetization, μB/f.u.: 2.48
E_form, meV per atom: 427
E, eV per formula unit: -15.31

***

A plane-wave DFT calculation with PBE was carried out for a relaxed structure of Sr3FePd.

Geometry as POSCAR:
```
Sr3FePd
1.0
-2.421 4.992 -1.826
-2.328 0.808 5.295
4.778 2.923 1.655
Sr Fe Pd
3 1 1
Direct
0.000 0.500 0.000
0.000 0.000 0.500
0.500 0.000 0.000
0.500 0.500 0.500
0.000 0.000 0.000
```

Energy above the most stable polymorph in this dataset, meV per atom: 0.0
Calculated density, g cm⁻³: 3.5
Total magnetization, μB/f.u.: 3.03
E_form, meV per atom: 334
E, eV per formula unit: -17.03

***

A plane-wave DFT calculation with PBE was carried out for a relaxed structure of SrFe3Pd.

Geometry as POSCAR:
```
SrFe3Pd
1.0
-4.677 -0.990 0.280
-0.017 -1.232 -4.628
1.028 -4.521 1.200
Sr Fe Pd
1 3 1
Direct
0.500 0.500 0.500
0.000 0.500 0.000
0.000 0.000 0.500
0.500 0.000 0.000
0.000 0.000 0.000
```

Energy above the most stable polymorph in this dataset, meV per atom: 0.0
Calculated density, g cm⁻³: 5.5
Total magnetization, μB/f.u.: 9.41
E_form, meV per atom: 768
E, eV per formula unit: -28.42

***

A plane-wave DFT calculation with PBE was carried out for a relaxed structure of Sr2FePd2.

Geometry as POSCAR:
```
Sr2FePd2
1.0
7.126 0.000 0.000
0.000 7.126 0.000
0.000 0.000 4.686
Sr Fe Pd
4 2 4
Direct
0.175 0.675 0.500
0.675 0.825 0.500
0.825 0.325 0.500
0.325 0.175 0.500
0.000 0.000 0.000
0.500 0.500 0.000
0.361 0.861 0.000
0.861 0.639 0.000
0.639 0.139 0.000
0.139 0.361 0.000
```

Calculated density, g cm⁻³: 6.2
Total magnetization, μB/f.u.: 2.73
E_form, meV per atom: -135
E, eV per formula unit: -22.89

***

A plane-wave DFT calculation with PBE was carried out for a relaxed structure of Sr2FePd.

Geometry as POSCAR:
```
Sr2FePd
1.0
0.000 3.768 3.768
3.768 0.000 3.768
3.768 3.768 0.000
Sr Fe Pd
2 1 1
Direct
0.250 0.250 0.250
0.750 0.750 0.750
0.000 0.000 0.000
0.500 0.500 0.500
```

Energy above the most stable polymorph in this dataset, meV per atom: 0.0
Calculated density, g cm⁻³: 5.2
Total magnetization, μB/f.u.: 2.54
E_form, meV per atom: 215
E, eV per formula unit: -16.16